[1]
Below is a relaxed structure of La3Ge2Ru2, with properties calculated at the PBE-GGA level.

Cell lengths 5.8690, 8.1201, 13.7150 Å; angles 90.00, 90.00, 90.00 degrees
With the nearest neighbours (Å) after each atom.
Positions (direct):
La: 0.1561 0.5943 0.0955  3 Ru 2.82-3.15
La: 0.8439 0.4057 0.5955  3 Ru 2.82-3.15
La: 0.8439 0.0943 0.4045  3 Ru 2.82-3.15
La: 0.1561 0.9057 0.9045  3 Ru 2.82-3.15
La: 0.8439 0.4057 0.9045  3 Ru 2.82-3.15
La: 0.1561 0.5943 0.4045  3 Ru 2.82-3.15
La: 0.1561 0.9057 0.5955  3 Ru 2.82-3.15
La: 0.8439 0.0943 0.0955  3 Ru 2.82-3.15
La: 0.3738 0.2320 0.2500  4 Ru 3.08-3.35, 5 Ge 3.14-3.43
La: 0.6262 0.7680 0.7500  4 Ru 3.08-3.35, 5 Ge 3.14-3.43
La: 0.6262 0.7320 0.2500  4 Ru 3.08-3.35, 5 Ge 3.14-3.43
La: 0.3738 0.2680 0.7500  4 Ru 3.08-3.35, 5 Ge 3.14-3.43
Ge: 0.3860 0.2500 0.0000  4 Ru 2.59-2.65
Ge: 0.6140 0.7500 0.5000  4 Ru 2.59-2.65
Ge: 0.6140 0.7500 0.0000  4 Ru 2.59-2.65
Ge: 0.3860 0.2500 0.5000  4 Ru 2.59-2.65
Ge: 0.8640 0.3856 0.2500  2 Ru 2.64
Ge: 0.1360 0.6144 0.7500  2 Ru 2.64
Ge: 0.1360 0.8856 0.2500  2 Ru 2.64
Ge: 0.8640 0.1144 0.7500  2 Ru 2.64
Ru: 0.6483 0.4687 0.0885  3 Ge 2.59-2.65, 1 La 2.82
Ru: 0.3517 0.5313 0.5885  3 Ge 2.59-2.65, 1 La 2.82
Ru: 0.3517 0.9687 0.4115  3 Ge 2.59-2.65, 1 La 2.82
Ru: 0.6483 0.0313 0.9115  3 Ge 2.59-2.65, 1 La 2.82
Ru: 0.3517 0.5313 0.9115  3 Ge 2.59-2.65, 1 La 2.82
Ru: 0.6483 0.4687 0.4115  3 Ge 2.59-2.65, 1 La 2.82
Ru: 0.6483 0.0313 0.5885  3 Ge 2.59-2.65, 1 La 2.82
Ru: 0.3517 0.9687 0.0885  3 Ge 2.59-2.65, 1 La 2.82

- calculated volume (Å³ per cell) = 653.6
- space-group type = Pbcm (57)
- crystal system = orthorhombic
- formation energy (kJ per mole of atoms) = -64.05
- total magnetic moment (μB per formula unit) = 0.0

=====

[2]
Below is a relaxed structure of LaGe3Ru, with properties calculated at the PBE-GGA level.

Cell lengths 5.3998, 5.3998, 5.3998 Å; angles 90.00, 90.00, 90.00 degrees
With the nearest neighbours (Å) after each atom.
Positions (direct):
Ru: 0.5000 0.5000 0.5000  12 Ge 3.82
Ge: 0.0000 0.5000 0.0000  2 La 2.70
Ge: 0.0000 0.0000 0.5000  2 La 2.70
Ge: 0.5000 0.0000 0.0000  2 La 2.70
La: 0.0000 0.0000 0.0000  6 Ge 2.70

- calculated volume (Å³ per cell) = 157.4
- space-group type = Pm-3m (221)
- crystal system = cubic
- formation energy (kJ per mole of atoms) = 178.87
- total magnetic moment (μB per formula unit) = 0.1

=====

[3]
Below is a relaxed structure of La8Ge2Ru, with properties calculated at the PBE-GGA level.

Cell lengths 4.6700, 7.7965, 9.7238 Å; angles 98.61, 103.89, 90.00 degrees
With the nearest neighbours (Å) after each atom.
Positions (direct):
La: 0.4037 0.4998 0.8074  2 Ge 3.27, 6 La 3.56-3.64
La: 0.6514 0.0084 0.3028  1 Ru 2.85
La: 0.7843 0.6513 0.5686  3 Ge 3.21-3.27, 5 La 3.43-3.57
La: 0.9920 0.2190 0.9841  2 Ru 2.91
La: 0.2157 0.3487 0.4314  3 Ge 3.21-3.27, 5 La 3.43-3.57
La: 0.3486 0.9916 0.6972  1 Ru 2.85
La: 0.5963 0.5002 0.1926  2 Ge 3.27, 6 La 3.56-3.64
La: 0.0080 0.7810 0.0159  2 Ru 2.91
Ge: 0.8196 0.2541 0.6392  9 La 3.21-3.45
Ge: 0.1804 0.7459 0.3608  9 La 3.21-3.45
Ru: 0.5000 0.0000 0.0000  6 La 2.85-2.91

- calculated volume (Å³ per cell) = 339.6
- space-group type = C2/m (12)
- crystal system = monoclinic
- formation energy (kJ per mole of atoms) = -36.80
- total magnetic moment (μB per formula unit) = 0.0

=====

[4]
Below is a relaxed structure of LaGe2Ru2, with properties calculated at the PBE-GGA level.

Cell lengths 7.5858, 7.5858, 3.0669 Å; angles 90.00, 90.00, 90.00 degrees
With the nearest neighbours (Å) after each atom.
Positions (direct):
Ru: 0.3604 0.8604 0.0000  6 Ge 2.67-2.75, 2 La 2.93
Ru: 0.8604 0.6396 0.0000  6 Ge 2.67-2.75, 2 La 2.93
Ru: 0.6396 0.1396 0.0000  6 Ge 2.67-2.75, 2 La 2.93
Ru: 0.1396 0.3604 0.0000  6 Ge 2.67-2.75, 2 La 2.93
Ge: 0.1480 0.6480 0.5000  6 Ru 2.67-2.75
Ge: 0.6480 0.8520 0.5000  6 Ru 2.67-2.75
Ge: 0.8520 0.3520 0.5000  6 Ru 2.67-2.75
Ge: 0.3520 0.1480 0.5000  6 Ru 2.67-2.75
La: 0.0000 0.0000 0.0000  4 Ru 2.93, 2 La 3.07, 8 Ge 3.28
La: 0.5000 0.5000 0.0000  4 Ru 2.93, 2 La 3.07, 8 Ge 3.28

- calculated volume (Å³ per cell) = 176.5
- space-group type = P4/mbm (127)
- crystal system = tetragonal
- formation energy (kJ per mole of atoms) = -23.09
- total magnetic moment (μB per formula unit) = 0.0

=====

[5]
Below is a relaxed structure of LaGe3Ru2, with properties calculated at the PBE-GGA level.

Cell lengths 5.7774, 6.2801, 6.2801 Å; angles 103.28, 90.00, 90.00 degrees
With the nearest neighbours (Å) after each atom.
Positions (direct):
La: 0.2500 0.3432 0.3432  9 Ge 3.04-3.40
La: 0.7500 0.6568 0.6568  9 Ge 3.04-3.40
Ge: 0.7500 0.4656 0.1129  4 Ru 2.48-2.69, 1 Ge 2.56
Ge: 0.7500 0.1129 0.4656  4 Ru 2.48-2.69, 1 Ge 2.56
Ge: 0.2500 0.5344 0.8871  4 Ru 2.48-2.69, 1 Ge 2.56
Ge: 0.7500 0.0474 0.0474  4 Ru 2.50, 2 Ge 2.56
Ge: 0.2500 0.9526 0.9526  4 Ru 2.50, 2 Ge 2.56
Ge: 0.2500 0.8871 0.5344  4 Ru 2.48-2.69, 1 Ge 2.56
Ru: 0.5000 0.7960 0.2040  6 Ge 2.48-2.69
Ru: 0.0000 0.7960 0.2040  6 Ge 2.48-2.69
Ru: 0.0000 0.2040 0.7960  6 Ge 2.48-2.69
Ru: 0.5000 0.2040 0.7960  6 Ge 2.48-2.69

- calculated volume (Å³ per cell) = 221.8
- space-group type = Cmcm (63)
- crystal system = orthorhombic
- formation energy (kJ per mole of atoms) = -45.95
- total magnetic moment (μB per formula unit) = 0.0

=====

[6]
Below is a relaxed structure of LaGeRu2, with properties calculated at the PBE-GGA level.

Cell lengths 5.4458, 4.3070, 13.3506 Å; angles 90.00, 95.42, 90.00 degrees
With the nearest neighbours (Å) after each atom.
Positions (direct):
Ru: 0.6090 0.0000 0.2822  3 Ge 2.67-2.78, 4 Ru 2.91-2.95, 2 La 2.97
Ru: 0.6090 0.5000 0.7822  3 Ge 2.67-2.78, 4 Ru 2.91-2.95, 2 La 2.97
Ru: 0.3748 0.0000 0.8850  3 Ru 2.49-2.62, 1 La 2.72, 2 Ge 2.77
Ru: 0.3748 0.5000 0.3850  3 Ru 2.49-2.62, 1 La 2.72, 2 Ge 2.77
Ru: 0.2967 0.0000 0.6881  4 Ge 2.57-2.80, 2 Ru 2.62-2.87, 2 La 2.63-2.86
Ru: 0.2967 0.5000 0.1881  4 Ge 2.57-2.80, 2 Ru 2.62-2.87, 2 La 2.63-2.86
Ru: 0.3815 0.0000 0.4788  2 Ru 2.49, 3 Ge 2.65-2.71
Ru: 0.3815 0.5000 0.9788  2 Ru 2.49, 3 Ge 2.65-2.71
Ge: 0.3923 0.0000 0.0946  6 Ru 2.57-2.79
Ge: 0.3923 0.5000 0.5946  6 Ru 2.57-2.79
Ge: 0.1215 0.0000 0.2953  7 Ru 2.68-2.80
Ge: 0.1215 0.5000 0.7953  7 Ru 2.68-2.80
La: 0.8113 0.0000 0.6604  2 Ru 2.63-2.86
La: 0.8113 0.5000 0.1604  2 Ru 2.63-2.86
La: 0.8697 0.0000 0.9371  2 Ru 2.72-2.90
La: 0.8697 0.5000 0.4371  2 Ru 2.72-2.90

- calculated volume (Å³ per cell) = 311.7
- space-group type = Cm (8)
- crystal system = monoclinic
- formation energy (kJ per mole of atoms) = -27.72
- total magnetic moment (μB per formula unit) = 0.0

=====

[7]
Below is a relaxed structure of La5Ge2Ru, with properties calculated at the PBE-GGA level.

Cell lengths 4.6560, 8.1012, 12.2468 Å; angles 90.00, 90.00, 90.00 degrees
With the nearest neighbours (Å) after each atom.
Positions (direct):
La: 0.0000 0.0000 0.5000  4 Ge 3.18, 4 La 3.51
La: 0.0000 0.5000 0.0000  4 Ge 3.18, 4 La 3.51
La: 0.0000 0.8618 0.2051  1 Ru 2.75
La: 0.0000 0.1382 0.7949  1 Ru 2.75
La: 0.0000 0.6382 0.7051  1 Ru 2.75
La: 0.0000 0.3618 0.2949  1 Ru 2.75
La: 0.5000 0.6945 0.4293  2 Ru 2.94
La: 0.5000 0.3055 0.5707  2 Ru 2.94
La: 0.5000 0.8055 0.9293  2 Ru 2.94
La: 0.5000 0.1945 0.0707  2 Ru 2.94
Ge: 0.5000 0.5793 0.1694  9 La 3.18-3.46
Ge: 0.5000 0.4207 0.8306  9 La 3.18-3.46
Ge: 0.5000 0.9207 0.6694  9 La 3.18-3.46
Ge: 0.5000 0.0793 0.3306  9 La 3.18-3.46
Ru: 0.0000 0.5000 0.5000  6 La 2.75-2.94
Ru: 0.0000 0.0000 0.0000  6 La 2.75-2.94

- calculated volume (Å³ per cell) = 461.9
- space-group type = Pbam (55)
- crystal system = orthorhombic
- formation energy (kJ per mole of atoms) = -60.60
- total magnetic moment (μB per formula unit) = 0.0

=====

[8]
Below is a relaxed structure of LaSmGeRu, with properties calculated at the PBE-GGA level.

Cell lengths 4.4551, 4.3962, 5.4711 Å; angles 90.00, 114.03, 90.00 degrees
With the nearest neighbours (Å) after each atom.
Positions (direct):
La: 0.1629 0.0000 0.3257  1 Ru 2.49
Sm: 0.8637 0.5000 0.7275  3 Ge 2.98-3.02, 4 Ru 3.17
Ge: 0.5618 0.5000 0.1237  2 Ru 2.66, 2 Sm 2.98
Ru: 0.4116 0.0000 0.8231  1 La 2.49, 2 Ge 2.66

- calculated volume (Å³ per cell) = 97.9
- space-group type = Amm2 (38)
- crystal system = orthorhombic
- formation energy (kJ per mole of atoms) = -55.53
- total magnetic moment (μB per formula unit) = 0.0